ZrCdTe2 after structural relaxation. Source: Alexandria via LeMat-Bulk, functional PBE.

a b c (Å): 3.4138 3.4138 9.9672
angles (deg): 90.00 90.00 104.92
Last column: nearest neighbours and their distance in Å.
Fractional coordinates of all 4 atoms:
Te 0.0000 0.0000 0.9471  2 Cd 3.01
Te 0.5000 0.5000 0.3131  2 Zr 2.86
Zr 0.0000 0.0000 0.5103  2 Te 2.86, 2 Cd 3.02
Cd 0.5000 0.5000 0.7294  2 Te 3.01, 2 Zr 3.02

Calculated values
* formation energy without anion corrections: -0.195 eV/atom
* density of states at the Fermi level: 3.01 states/eV/cell
* space group: Cmm2 (35)


Zr4CdTe after structural relaxation. Source: Alexandria via LeMat-Bulk, functional PBE.

a b c (Å): 5.8597 5.8597 5.8597
angles (deg): 60.00 60.00 60.00
Last column: nearest neighbours and their distance in Å.
Fractional coordinates of all 6 atoms:
Zr 0.3764 0.3764 0.3764  6 Zr 2.90-2.96
Zr 0.3764 0.3764 0.8709  6 Zr 2.90-2.96
Zr 0.8709 0.3764 0.3764  6 Zr 2.90-2.96
Zr 0.3764 0.8709 0.3764  6 Zr 2.90-2.96
Te 0.0000 0.0000 0.0000  12 Zr 3.44, 4 Cd 3.59
Cd 0.7500 0.7500 0.7500  12 Zr 3.43, 4 Te 3.59

Calculated values
* formation energy without anion corrections: 0.194 eV/atom
* density of states at the Fermi level: 8.77 states/eV/cell
* space group: F-43m (216)


ZrCdTe2 after structural relaxation. Source: Alexandria via LeMat-Bulk, functional PBE.

a b c (Å): 3.9329 3.9329 9.2063
angles (deg): 77.67 77.67 60.00
Last column: nearest neighbours and their distance in Å.
Fractional coordinates of all 4 atoms:
Te 0.0694 0.0694 0.7917  3 Zr 2.92
Te 0.2652 0.2652 0.2045  3 Zr 2.93
Cd 0.4980 0.4980 0.5060  6 Te 3.41-3.52
Zr 0.6674 0.6674 0.9978  6 Te 2.92-2.93

Calculated values
* formation energy without anion corrections: -0.563 eV/atom
* density of states at the Fermi level: 0.90 states/eV/cell
* space group: R3m (160)


ZrCdTe2 after structural relaxation. Source: Alexandria via LeMat-Bulk, functional PBE.

a b c (Å): 6.2232 6.2232 6.2232
angles (deg): 139.56 139.56 58.52
Last column: nearest neighbours and their distance in Å.
Fractional coordinates of all 4 atoms:
Te 0.2500 0.7500 0.5000  4 Cd 3.04
Te 0.0000 0.0000 0.0000  4 Zr 3.04
Zr 0.5000 0.5000 0.0000  4 Te 3.04
Cd 0.7500 0.2500 0.5000  4 Te 3.04

Calculated values
* formation energy without anion corrections: -0.158 eV/atom
* density of states at the Fermi level: 3.14 states/eV/cell
* space group: I-4m2 (119)


ZrCdTe2 after structural relaxation. Source: Alexandria via LeMat-Bulk, functional PBE.

a b c (Å): 3.9377 3.9377 7.1326
angles (deg): 90.00 90.00 90.00
Last column: nearest neighbours and their distance in Å.
Fractional coordinates of all 4 atoms:
Cd 0.5000 0.5000 0.7647  5 Te 2.96-3.09
Te 0.5000 0.5000 0.3315  4 Zr 3.03, 1 Cd 3.09
Te 0.0000 0.0000 0.9035  1 Zr 2.88, 4 Cd 2.96
Zr 0.0000 0.0000 0.5003  5 Te 2.88-3.03

Calculated values
* formation energy without anion corrections: -0.358 eV/atom
* density of states at the Fermi level: 2.90 states/eV/cell
* space group: P4mm (99)


ZrCdTe2 after structural relaxation. Source: Alexandria via LeMat-Bulk, functional PBE.

a b c (Å): 5.2607 5.2607 5.2607
angles (deg): 60.00 60.00 60.00
Last column: nearest neighbours and their distance in Å.
Fractional coordinates of all 4 atoms:
Te 0.0000 0.0000 0.0000  4 Zr 3.22, 4 Te 3.22
Te 0.2500 0.2500 0.2500  4 Cd 3.22, 4 Te 3.22
Zr 0.7500 0.7500 0.7500  4 Cd 3.22, 4 Te 3.22
Cd 0.5000 0.5000 0.5000  4 Zr 3.22, 4 Te 3.22

Calculated values
* formation energy without anion corrections: 0.124 eV/atom
* density of states at the Fermi level: 3.55 states/eV/cell
* space group: F-43m (216)